(1)
Here is a geometry-optimized BeAlCdAu structure from the Open Quantum Materials Database. Energies are from PBE.

Properties
energy above the lowest structure with this stoichiometry: 61 meV per atom

Structure (POSCAR):
```
BeAlCdAu
1.0
0.0000 3.2079 3.2079
3.2079 0.0000 3.2079
3.2079 3.2079 0.0000
Be Al Cd Au
1 1 1 1
direct
0.0000 0.0000 0.0000
0.7500 0.7500 0.7500
0.2500 0.2500 0.2500
0.5000 0.5000 0.5000
```

(2)
Here is a geometry-optimized BeAlCdAu structure from the Open Quantum Materials Database. Energies are from PBE.

Properties
energy above the lowest structure with this stoichiometry: 0 meV per atom

Structure (POSCAR):
```
BeAlCdAu
1.0
0.0000 3.1639 3.1639
3.1639 0.0000 3.1639
3.1639 3.1639 0.0000
Be Al Cd Au
1 1 1 1
direct
0.0000 0.0000 0.0000
0.5000 0.5000 0.5000
0.2500 0.2500 0.2500
0.7500 0.7500 0.7500
```

(3)
Here is a geometry-optimized BeAlHgAu structure from the Open Quantum Materials Database. Energies are from PBE.

Properties
energy above the lowest structure with this stoichiometry: 170 meV per atom

Structure (POSCAR):
```
BeAlHgAu
1.0
0.0000 3.2508 3.2508
3.2508 0.0000 3.2508
3.2508 3.2508 0.0000
Be Al Hg Au
1 1 1 1
direct
0.0000 0.0000 0.0000
0.7500 0.7500 0.7500
0.2500 0.2500 0.2500
0.5000 0.5000 0.5000
```

(4)
Here is a geometry-optimized BeAlHgAu structure from the Open Quantum Materials Database. Energies are from PBE.

Properties
energy above the lowest structure with this stoichiometry: 0 meV per atom

Structure (POSCAR):
```
BeAlHgAu
1.0
0.0000 3.1890 3.1890
3.1890 0.0000 3.1890
3.1890 3.1890 0.0000
Be Al Hg Au
1 1 1 1
direct
0.0000 0.0000 0.0000
0.5000 0.5000 0.5000
0.2500 0.2500 0.2500
0.7500 0.7500 0.7500
```

(5)
Here is a geometry-optimized MgBeAlAu structure from the Open Quantum Materials Database. Energies are from PBE.

Properties
energy above the lowest structure with this stoichiometry: 70 meV per atom

Structure (POSCAR):
```
MgBeAlAu
1.0
0.0000 3.1117 3.1117
3.1117 0.0000 3.1117
3.1117 3.1117 0.0000
Mg Be Al Au
1 1 1 1
direct
0.0000 0.0000 0.0000
0.7500 0.7500 0.7500
0.2500 0.2500 0.2500
0.5000 0.5000 0.5000
```

(6)
Here is a geometry-optimized MgBeAlAu structure from the Open Quantum Materials Database. Energies are from PBE.

Properties
energy above the lowest structure with this stoichiometry: 0 meV per atom

Structure (POSCAR):
```
MgBeAlAu
1.0
0.0000 3.1333 3.1333
3.1333 0.0000 3.1333
3.1333 3.1333 0.0000
Mg Be Al Au
1 1 1 1
direct
0.0000 0.0000 0.0000
0.7500 0.7500 0.7500
0.5000 0.5000 0.5000
0.2500 0.2500 0.2500
```

(7)
Here is a geometry-optimized BeAlZnAu structure from the Open Quantum Materials Database. Energies are from PBE.

Properties
energy above the lowest structure with this stoichiometry: 0 meV per atom

Structure (POSCAR):
```
BeAlZnAu
1.0
0.0000 3.0512 3.0512
3.0512 0.0000 3.0512
3.0512 3.0512 0.0000
Be Al Zn Au
1 1 1 1
direct
0.0000 0.0000 0.0000
0.5000 0.5000 0.5000
0.2500 0.2500 0.2500
0.7500 0.7500 0.7500
```

(8)
Here is a geometry-optimized BeAlZnAu structure from the Open Quantum Materials Database. Energies are from PBE.

Properties
energy above the lowest structure with this stoichiometry: 79 meV per atom

Structure (POSCAR):
```
BeAlZnAu
1.0
0.0000 3.0776 3.0776
3.0776 0.0000 3.0776
3.0776 3.0776 0.0000
Be Al Zn Au
1 1 1 1
direct
0.0000 0.0000 0.0000
0.7500 0.7500 0.7500
0.2500 0.2500 0.2500
0.5000 0.5000 0.5000
```

(9)
Here is a geometry-optimized AlBi2Au structure from the Open Quantum Materials Database. Energies are from PBE.

Properties
total DFT energy (no corrections): -3.5490 eV/atom

Structure (POSCAR):
```
AlBi2Au
1.0
0.0000 3.6909 3.6909
3.6909 0.0000 3.6909
3.6909 3.6909 0.0000
Al Bi Au
1 2 1
direct
0.0000 0.0000 0.0000
0.5000 0.5000 0.5000
0.7500 0.7500 0.7500
0.2500 0.2500 0.2500
```

(10)
Here is a geometry-optimized AlAuBr6 structure from the Open Quantum Materials Database. Energies are from PBE.

Properties
total DFT energy (no corrections): -2.2655 eV/atom

Structure (POSCAR):
```
AlAuBr6
1.0
0.0000 4.9513 4.9513
4.9513 0.0000 4.9513
4.9513 4.9513 0.0000
Al Au Br
1 1 6
direct
0.0000 0.0000 0.0000
0.2500 0.2500 0.2500
0.2480 0.2480 0.7520
0.2480 0.7520 0.2480
0.2480 0.7520 0.7520
0.7520 0.2480 0.2480
0.7520 0.2480 0.7520
0.7520 0.7520 0.2480
```

(11)
Here is a geometry-optimized AlAuBr3Cl structure from the Open Quantum Materials Database. Energies are from PBE.

Properties
total DFT energy (no corrections): -3.1538 eV/atom

Structure (POSCAR):
```
AlAuBr3Cl
1.0
6.2396 0.0000 0.0000
0.0248 6.5548 0.0000
3.0966 3.1806 5.4717
Al Au Br Cl
1 1 3 1
direct
0.0000 0.0000 0.0000
0.8741 0.3571 0.2859
0.1043 0.0556 0.2682
0.6489 0.6671 0.2722
0.8726 0.3162 0.8006
0.3027 0.9187 0.7746
```

(12)
Here is a geometry-optimized K2AlAuBr6 structure from the Open Quantum Materials Database. Energies are from PBE.

Properties
total DFT energy (no corrections): -2.9672 eV/atom

Structure (POSCAR):
```
K2AlAuBr6
1.0
0.0000 5.3702 5.3702
5.3702 0.0000 5.3702
5.3702 5.3702 0.0000
K Al Au Br
2 1 1 6
direct
0.2500 0.2500 0.2500
0.7500 0.7500 0.7500
0.0000 0.0000 0.0000
0.5000 0.5000 0.5000
0.2367 0.2367 0.7633
0.2367 0.7633 0.2367
0.2367 0.7633 0.7633
0.7633 0.2367 0.2367
0.7633 0.2367 0.7633
0.7633 0.7633 0.2367
```

Please write out number 12 again, unchanged.
Here is a geometry-optimized K2AlAuBr6 structure from the Open Quantum Materials Database. Energies are from PBE.

Properties
total DFT energy (no corrections): -2.9672 eV/atom

Structure (POSCAR):
```
K2AlAuBr6
1.0
0.0000 5.3702 5.3702
5.3702 0.0000 5.3702
5.3702 5.3702 0.0000
K Al Au Br
2 1 1 6
direct
0.2500 0.2500 0.2500
0.7500 0.7500 0.7500
0.0000 0.0000 0.0000
0.5000 0.5000 0.5000
0.2367 0.2367 0.7633
0.2367 0.7633 0.2367
0.2367 0.7633 0.7633
0.7633 0.2367 0.2367
0.7633 0.2367 0.7633
0.7633 0.7633 0.2367
```